Record 1
The following is a PBE calculation of a geometry-optimized Li2TcBr structure, from the Alexandria database.

Values from the calculation:
Calculated volume   64 Å³/f.u.
Density of states at the Fermi level   0.75 states/eV per atom
Mass density   4.94 g/cm3
Raw formation energy   0.488 eV per atom

Cell and atoms, written as POSCAR:
```
Li2TcBr
1.0
-1.9212 -3.4322 -3.3714
3.3310 -2.1803 -3.3148
-0.2496 0.8161 5.1097
Br Li Tc
1 2 1
direct
0.7500 0.2500 0.5000
0.0000 0.0000 0.0000
0.5000 0.5000 0.0000
0.2500 0.7500 0.5000
```


Record 2
The following is a PBE calculation of a geometry-optimized NaAcH8Rh2 structure, from the Alexandria database.

Values from the calculation:
Calculated volume   126 Å³/f.u.
VASP energy   -4.202 eV per atom
Mass density   6.13 g/cm3

Cell and atoms, written as POSCAR:
```
NaAcH8Rh2
1.0
5.0504 0.0000 0.0000
2.5252 4.3738 0.0000
2.5252 1.4579 5.6859
Na Ac H Rh
1 1 8 2
direct
0.0000 0.0000 0.0000
0.5000 0.5000 0.5000
0.2003 0.2003 0.3991
0.5818 0.3813 0.1277
0.7997 0.7997 0.6009
0.9092 0.5818 0.1277
0.0908 0.4182 0.8723
0.3813 0.9092 0.1277
0.6187 0.0908 0.8723
0.4182 0.6187 0.8723
0.3017 0.3017 0.0948
0.6983 0.6983 0.9052
```